Here is a geometry-optimized Zn3NiO3 structure from Alexandria. Energies are from GGA+U.

Cell and atoms, written as POSCAR:
```
Zn3NiO3
1.0
-4.051 0.959 3.965
-3.132 -4.311 -2.158
2.613 -3.680 3.560
Zn Ni O
6 2 6
Direct
0.250 0.000 0.500 Zn
0.750 0.000 0.500 Zn
0.000 0.500 0.250 Zn
0.000 0.500 0.750 Zn
0.500 0.250 0.000 Zn
0.500 0.750 0.000 Zn
0.000 0.000 0.000 Ni
0.500 0.500 0.500 Ni
0.250 0.500 0.000 O
0.750 0.500 0.000 O
0.500 0.000 0.250 O
0.500 0.000 0.750 O
0.000 0.250 0.500 O
0.000 0.750 0.500 O
```

DFT total energy ... -3.679 eV per atom
V ... 13.57 Å³/atom
SG ... Pm-3n (223)
Spin magnetization ... 2.0 μB per formula unit